No. 1
A geometry-optimized CaFeReP2 structure. Source: the Alexandria database, functional PBE-GGA.

SG: I-4m2, No. 119
Density of states at the Fermi level, states/eV per atom: 0.85
Total DFT energy (no corrections), eV per atom: -7.382

Structure (POSCAR):
```
CaFeReP2
1.0
-0.9898 -3.4846 -1.6555
3.7347 -0.4371 -1.3130
-0.1442 -0.4249 5.7718
Ca Fe Re P
1 1 1 2
direct
0.0000 0.0000 0.0000 Ca
0.7500 0.2500 0.5000 Fe
0.2500 0.7500 0.5000 Re
0.6341 0.6341 0.2683 P
0.3659 0.3659 0.7317 P
```

=====

No. 2
A geometry-optimized MnC3 structure. Source: the Alexandria database, functional PBE-GGA.

SG: Fm-3m, No. 225
Density of states at the Fermi level, states/eV per atom: 0.36
Excess energy over the best structure of this formula in the dataset, eV per atom: 2.076

Structure (POSCAR):
```
MnC3
1.0
-2.9722 0.2165 1.9121
-3.0852 -1.0275 -1.4011
-1.5768 -2.9499 1.1614
C Mn
3 1
direct
0.0000 0.0000 0.0000 C
0.2500 0.2500 0.2500 C
0.5000 0.5000 0.5000 C
0.7500 0.7500 0.7500 Mn
```

=====

No. 3
A geometry-optimized MoP structure. Source: the Alexandria database, functional PBE-GGA.

SG: Pmmn, No. 59
Density of states at the Fermi level, states/eV per atom: 0.91
Total DFT energy (no corrections), eV per atom: -8.419

Structure (POSCAR):
```
MoP
1.0
-0.7506 -0.3933 -2.9316
1.4973 -3.8271 0.1301
-4.1340 -1.5743 1.2696
Mo P
2 2
direct
0.0000 0.6260 0.0000 Mo
0.5000 0.3740 0.5000 Mo
0.5000 0.1341 0.0000 P
0.0000 0.8659 0.5000 P
```

=====

No. 4
A geometry-optimized Na2CaHg2Sb2 structure. Source: the Alexandria database, functional PBE-GGA.

Raw formation energy, eV/f.u.: -2.83
SG: R-3m, No. 166
Density of states at the Fermi level, states/eV per atom: 0.07

Structure (POSCAR):
```
Na2CaHg2Sb2
1.0
4.9343 0.0000 0.0000
2.4672 4.2733 0.0000
2.4672 1.4244 8.8821
Na Ca Hg Sb
2 1 2 2
direct
0.1420 0.1420 0.5739 Na
0.8580 0.8580 0.4261 Na
0.0000 0.0000 0.0000 Ca
0.5568 0.5568 0.3296 Hg
0.4432 0.4432 0.6704 Hg
0.7328 0.7328 0.8015 Sb
0.2672 0.2672 0.1985 Sb
```

=====

No. 5
A geometry-optimized NaPmBr2O structure. Source: the Alexandria database, functional PBE-GGA.

Raw formation energy, eV/f.u.: -11.67
SG: P4/nmm, No. 129
Density of states at the Fermi level, states/eV per atom: 0.00

Structure (POSCAR):
```
NaPmBr2O
1.0
4.0433 0.0000 0.0000
0.0000 4.0433 0.0000
0.0000 0.0000 14.9782
Na Pm Br O
2 2 4 2
direct
0.5000 0.0000 0.0947 Na
0.0000 0.5000 0.9053 Na
0.5000 0.0000 0.5776 Pm
0.0000 0.5000 0.4224 Pm
0.0000 0.5000 0.6858 Br
0.0000 0.5000 0.1080 Br
0.5000 0.0000 0.8920 Br
0.5000 0.0000 0.3142 Br
0.0000 0.0000 0.5000 O
0.5000 0.5000 0.5000 O
```

=====

No. 6
A geometry-optimized CaAs2PSe structure. Source: the Alexandria database, functional PBE-GGA.

Raw formation energy, eV/f.u.: 5.32
SG: P4/mmm, No. 123
Density of states at the Fermi level, states/eV per atom: 1.36
Excess energy over the best structure of this formula in the dataset, eV per atom: 1.165

Structure (POSCAR):
```
CaAs2PSe
1.0
5.3975 0.0000 0.0000
0.0000 5.3975 0.0000
0.0000 0.0000 5.2015
P As Ca Se
1 2 1 1
direct
0.5000 0.5000 0.5000 P
0.0000 0.5000 0.0000 As
0.5000 0.0000 0.0000 As
0.0000 0.0000 0.0000 Ca
0.0000 0.0000 0.5000 Se
```

=====

No. 7
A geometry-optimized CrFe3C structure. Source: the Alexandria database, functional PBE-GGA.

SG: Pm-3m, No. 221
Density of states at the Fermi level, states/eV per atom: 1.17
Total DFT energy (no corrections), eV per atom: -6.540

Structure (POSCAR):
```
CrFe3C
1.0
4.1924 0.0000 0.0000
0.0000 4.1924 0.0000
0.0000 0.0000 4.1924
Cr C Fe
1 1 3
direct
0.0000 0.0000 0.0000 Cr
0.5000 0.5000 0.5000 C
0.0000 0.5000 0.0000 Fe
0.0000 0.0000 0.5000 Fe
0.5000 0.0000 0.0000 Fe
```

=====

No. 8
A geometry-optimized VGa2Os structure. Source: the Alexandria database, functional PBE-GGA.

SG: I-42d, No. 122
Density of states at the Fermi level, states/eV per atom: 0.72
Excess energy over the best structure of this formula in the dataset, eV per atom: 0.319

Structure (POSCAR):
```
VGa2Os
1.0
-0.0924 -3.4940 1.1192
3.4243 0.3198 1.2813
-1.6768 1.1445 9.4518
Os Ga V
2 4 2
direct
0.0000 0.0000 0.0000 Os
0.7500 0.2500 0.5000 Os
0.6190 0.1250 0.2500 Ga
0.1310 0.6250 0.2500 Ga
0.3750 0.3810 0.7500 Ga
0.8750 0.8690 0.7500 Ga
0.5000 0.5000 0.0000 V
0.2500 0.7500 0.5000 V
```

=====

| no. | magnetic moment (μB/atom) |
| --- | --- |
| 1 | 0.183 |
| 2 | 0.436 |
| 3 | 0.000 |
| 4 | 0.000 |
| 5 | 0.000 |
| 6 | 0.000 |
| 7 | 0.949 |
| 8 | 0.000 |